1.
The following is a GGA-PBE calculation of a relaxed structure of LiY4Au5, from the Alexandria database.

abc: 3.565 3.565 17.362
angles: 90.00 90.00 90.00
Atoms (fractional coordinates):
Y 0.000 0.000 0.818
Y 0.000 0.000 0.182
Y 0.000 0.000 0.395
Y 0.000 0.000 0.605
Li 0.000 0.000 0.000
Au 0.500 0.500 0.710
Au 0.500 0.500 0.500
Au 0.500 0.500 0.290
Au 0.500 0.500 0.917
Au 0.500 0.500 0.083

Properties
- Symmetry: No. 123
- Energy of formation from the pure elements: -0.79 eV per atom

2.
The following is a GGA-PBE calculation of a relaxed structure of Ac2LaAl6, from the Alexandria database.

abc: 4.617 7.809 9.067
angles: 115.50 120.62 90.00
Atoms (fractional coordinates):
Ac 0.333 0.667 0.333
Ac 0.667 0.333 0.667
Al 0.169 0.669 0.669
Al 0.500 0.669 0.000
Al 0.831 0.331 0.331
Al 0.169 0.000 0.669
Al 0.831 0.000 0.331
Al 0.500 0.331 0.000
La 0.000 0.000 0.000

Properties
- Symmetry: No. 191
- Energy of formation from the pure elements: -0.42 eV per atom